# 1
Material: ZrInTe2
Method: DFT, PBEsol
State: optimized geometry

Geometry as CIF:
```
data_ZrInTe2
_chemical_formula_sum 'Zr2 In2 Te4'
_cell_length_a 3.538
_cell_length_b 4.982
_cell_length_c 13.087
_cell_angle_alpha 90.00
_cell_angle_beta 90.00
_cell_angle_gamma 90.00
_space_group_name_H-M_alt 'I m m m'
_space_group_IT_number 71
_space_group_name_Hall '-I 2 2'
loop_
_atom_site_label
_atom_site_fract_x
_atom_site_fract_y
_atom_site_fract_z
_atom_site_occupancy
Zr1 0.000 0.000 0.000 1
In1 0.000 0.000 0.500 1
Te1 0.000 0.500 0.328 1
```

Properties
For the raw total energy, the calculation gives -41.0 eV for the cell shown. The value obtained for the uncorrected formation energy is -0.346 eV per atom. The magnetization is 0.00 μB/atom.



# 2
Material: SrMgSnP2O8
Method: DFT, PBEsol
State: optimized geometry

Geometry as CIF:
```
data_SrMgSnP2O8
_chemical_formula_sum 'Sr2 Mg2 Sn2 P4 O16'
_cell_length_a 5.358
_cell_length_b 8.374
_cell_length_c 9.545
_cell_angle_alpha 110.91
_cell_angle_beta 105.84
_cell_angle_gamma 92.44
_space_group_name_H-M_alt 'P -1'
_space_group_IT_number 2
_space_group_name_Hall '-P 1'
loop_
_atom_site_label
_atom_site_fract_x
_atom_site_fract_y
_atom_site_fract_z
_atom_site_occupancy
Sr1 0.109 0.262 0.007 1
Mg1 0.369 0.696 0.382 1
Sn1 0.014 0.841 0.631 1
P1 0.188 0.515 0.749 1
P2 0.444 0.985 0.236 1
O1 0.040 0.604 0.400 1
O2 0.145 0.708 0.780 1
O3 0.160 0.485 0.893 1
O4 0.230 0.050 0.137 1
O5 0.305 0.829 0.251 1
O6 0.320 0.063 0.826 1
O7 0.416 0.867 0.597 1
O8 0.456 0.491 0.720 1
```

Properties
For the raw total energy, the calculation gives -186.4 eV for the cell shown. The value obtained for the uncorrected formation energy is -2.448 eV per atom. The magnetization is 0.00 μB/atom.



# 3
Material: NbFeRhBr2
Method: DFT, PBEsol
State: optimized geometry

Geometry as CIF:
```
data_NbFeRhBr2
_chemical_formula_sum 'Nb1 Fe1 Rh1 Br2'
_cell_length_a 4.952
_cell_length_b 4.952
_cell_length_c 4.860
_cell_angle_alpha 90.00
_cell_angle_beta 90.00
_cell_angle_gamma 90.00
_space_group_name_H-M_alt 'P 4/m m m'
_space_group_IT_number 123
_space_group_name_Hall '-P 4 2'
loop_
_atom_site_label
_atom_site_fract_x
_atom_site_fract_y
_atom_site_fract_z
_atom_site_occupancy
Nb1 0.000 0.000 0.000 1
Fe1 0.500 0.500 0.500 1
Rh1 0.000 0.000 0.500 1
Br1 0.000 0.500 0.000 1
```

Properties
For the raw total energy, the calculation gives -26.5 eV for the cell shown. The value obtained for the uncorrected formation energy is 1.030 eV per atom. The magnetization is 0.78 μB/atom.